A plane-wave DFT calculation with PBE+U was carried out for an optimized crystal structure of TbVO2.

Unit cell a=3.3121 b=3.3121 c=19.0247 alpha=90.00 beta=90.00 gamma=120.00
Last column: nearest neighbours and their distance in Å.
Space group R-3m (No. 166, hexagonal axes)
Asymmetric unit:
Tb1 0.0000 0.0000 0.0000  2 O 2.19
V1 0.0000 0.0000 0.5000  6 O 2.15
O1 0.0000 0.0000 0.1154  3 V 2.15, 1 Tb 2.19

Output
Total magnetization   7.0 Bohr magnetons per cell
DFT total energy   -0.543 Ry/atom
V   15.062 Å³/atom